# 1
# Tb2Pu2Te5

A relaxed structure of Tb2Pu2Te5 (PBE, the Alexandria database).

Summary:
Final energy in eV/atom: -7.14
DOS(E_F) in states/eV/atom: 2.817
V in Å³ per cell: 541.3

Cell: 8.3342 8.8671 8.8671 Å, 124.31 90.00 90.00°
Last column: nearest neighbours and their distance in Å.
Atoms (fractional coordinates):
Te: 0.3459 0.7054 0.9796  3 Tb 3.14-3.33, 3 Pu 3.19-3.30
Te: 0.1541 0.4796 0.2054  3 Tb 3.14-3.33, 3 Pu 3.19-3.30
Te: 0.8459 0.7946 0.5204  3 Tb 3.14-3.33, 3 Pu 3.19-3.30
Te: 0.0000 0.0000 0.0000  2 Pu 3.08, 4 Tb 3.16-3.17
Te: 0.8459 0.5204 0.7946  3 Tb 3.14-3.33, 3 Pu 3.19-3.30
Te: 0.3459 0.9796 0.7054  3 Tb 3.14-3.33, 3 Pu 3.19-3.30
Te: 0.6541 0.2946 0.0204  3 Tb 3.14-3.33, 3 Pu 3.19-3.30
Te: 0.5000 0.5000 0.5000  2 Pu 3.08, 4 Tb 3.16-3.17
Te: 0.1541 0.2054 0.4796  3 Tb 3.14-3.33, 3 Pu 3.19-3.30
Te: 0.6541 0.0204 0.2946  3 Tb 3.14-3.33, 3 Pu 3.19-3.30
Pu: 0.0000 0.8039 0.1961  7 Te 3.08-3.30
Pu: 0.0000 0.1961 0.8039  7 Te 3.08-3.30
Pu: 0.5000 0.6961 0.3039  7 Te 3.08-3.30
Pu: 0.5000 0.3039 0.6961  7 Te 3.08-3.30
Tb: 0.1506 0.6488 0.6488  8 Te 3.14-3.33
Tb: 0.8494 0.3512 0.3512  8 Te 3.14-3.33
Tb: 0.3494 0.1488 0.1488  8 Te 3.14-3.33
Tb: 0.6506 0.8512 0.8512  8 Te 3.14-3.33

=====

# 2
# CaTa2Mo

A relaxed structure of CaTa2Mo (PBE, the Alexandria database).

Summary:
DFT formation energy in eV per atom: 0.413
DOS(E_F) in states/eV/atom: 1.101
V in Å³ per cell: 79.8

Cell: 2.9490 2.9490 9.8529 Å, 90.00 90.00 111.40°
Last column: nearest neighbours and their distance in Å.
Atoms (fractional coordinates):
Ta: 0.5000 0.5000 0.2201  6 Ta 2.82-2.95
Ta: 0.0000 0.0000 0.9886  2 Mo 2.65, 6 Ta 2.82-2.95
Ca: 0.0000 0.0000 0.5123  4 Ca 2.95, 2 Mo 3.11
Mo: 0.5000 0.5000 0.7790  2 Ta 2.65, 4 Mo 2.95